*1*
## Be4Pt5 (PBE)

Data for a relaxed Be4Pt5 crystal.

Unit cell a=5.917 b=5.917 c=5.917 alpha=96.50 beta=96.50 gamma=140.68
Element x y z (fractional)
Be (0.000, 0.709, 0.709)
Pt (0.674, 0.326, 0.000)
Pt (0.674, 0.674, 0.348)
Be (0.709, 0.000, 0.709)
Be (0.000, 0.291, 0.291)
Pt (0.326, 0.326, 0.652)
Be (0.291, 0.000, 0.291)
Pt (0.326, 0.674, 0.000)
Pt (0.000, 0.000, 0.000)

## Properties
Density of states at the Fermi level in states/eV per cell: 3.129
Space-group type: No. 139
ρ in g/cm³: 13.59



*2*
## Be4Pt5 (PBE)

Data for a relaxed Be4Pt5 crystal.

Unit cell a=6.863 b=6.863 c=5.480 alpha=90.00 beta=90.00 gamma=60.00
Element x y z (fractional)
Pt (0.333, 0.333, 0.000)
Be (0.000, 0.610, 0.250)
Pt (0.667, 0.667, 0.500)
Pt (0.333, 0.333, 0.500)
Be (0.000, 0.390, 0.750)
Pt (0.667, 0.667, 0.000)
Be (0.000, 0.000, 0.500)
Pt (0.000, 0.731, 0.750)
Pt (0.269, 0.731, 0.250)
Pt (0.269, 0.000, 0.750)
Be (0.610, 0.390, 0.250)
Pt (0.000, 0.269, 0.250)
Be (0.390, 0.000, 0.250)
Pt (0.731, 0.000, 0.250)
Be (0.000, 0.000, 0.000)
Pt (0.731, 0.269, 0.750)
Be (0.610, 0.000, 0.750)
Be (0.390, 0.610, 0.750)

## Properties
Density of states at the Fermi level in states/eV per cell: 4.296
Space-group type: No. 193
ρ in g/cm³: 15.03



Most stable pick: *2*. Distance to second place: 0.225 eV/atom.



*1*
## PuBePt2 (PBE)

Data for a relaxed PuBePt2 crystal.

Unit cell a=5.351 b=5.300 c=6.231 alpha=77.10 beta=64.57 gamma=58.67
Element x y z (fractional)
Pt (0.231, 0.603, 0.203)
Pu (0.137, 0.750, 0.727)
Be (0.254, 0.250, 0.492)
Pt (0.434, 0.103, 0.797)
Pt (0.566, 0.897, 0.203)
Pt (0.769, 0.397, 0.797)
Pu (0.863, 0.250, 0.273)
Be (0.746, 0.750, 0.508)

## Properties
Density of states at the Fermi level in states/eV per cell: 21.136
Space-group type: No. 15
ρ in g/cm³: 15.67



*2*
## PuBePt2 (PBE)

Data for a relaxed PuBePt2 crystal.

Unit cell a=2.909 b=2.909 c=7.430 alpha=90.00 beta=90.00 gamma=90.00
Element x y z (fractional)
Be (0.500, 0.500, 0.000)
Pt (0.000, 0.000, 0.811)
Pu (0.500, 0.500, 0.500)
Pt (0.000, 0.000, 0.189)

## Properties
Density of states at the Fermi level in states/eV per cell: 7.016
Space-group type: No. 123
ρ in g/cm³: 16.99



*3*
## PuBePt2 (PBE)

Data for a relaxed PuBePt2 crystal.

Unit cell a=4.045 b=4.045 c=5.578 alpha=68.74 beta=68.74 gamma=60.00
Element x y z (fractional)
Pt (0.215, 0.215, 0.355)
Be (0.500, 0.500, 0.500)
Pu (0.000, 0.000, 0.000)
Pt (0.785, 0.785, 0.645)

## Properties
Density of states at the Fermi level in states/eV per cell: 12.408
Space-group type: No. 166
ρ in g/cm³: 14.88



Most stable pick: *1*. Distance to second place: 0.025 eV/atom.